1.
A geometry-optimized K3HgBi structure, computed with PBE.

Output
Size of the total moment in μB/f.u.: 0.00
N(E_F) in states/eV/cell: 0.0

a b c (Å): 6.875 6.875 6.875
angles (deg): 90.00 90.00 90.00
Space group Pm-3m (No. 221)
One atom of each set of equivalent atoms:
K 0.000 0.000 0.500 (multiplicity 3)
Hg 0.500 0.500 0.500 (multiplicity 1)
Bi 0.000 0.000 0.000 (multiplicity 1)

***

2.
A geometry-optimized K3HgBi structure, computed with PBE.

Output
Size of the total moment in μB/f.u.: 0.00

a b c (Å): 11.115 10.022 9.491
angles (deg): 90.00 90.00 90.00
Space group Ima2 (No. 46)
One atom of each set of equivalent atoms:
K 0.057 0.198 0.000 (multiplicity 8)
K 0.250 0.595 0.834 (multiplicity 4)
Hg 0.250 0.045 0.680 (multiplicity 4)
Bi 0.250 0.581 0.468 (multiplicity 4)

***

3.
A geometry-optimized K3HgBi structure, computed with PBE.

Output
Size of the total moment in μB/f.u.: 0.00
N(E_F) in states/eV/cell: 0.1

a b c (Å): 8.145 9.280 11.718
angles (deg): 90.00 92.05 90.00
Space group P2_1/c (No. 14)
One atom of each set of equivalent atoms:
K 0.164 0.180 0.389 (multiplicity 4)
K 0.211 0.522 0.603 (multiplicity 4)
K 0.269 0.532 0.163 (multiplicity 4)
Hg 0.463 0.749 0.433 (multiplicity 4)
Bi 0.106 0.718 0.868 (multiplicity 4)

***

3 comes first in stability; the runner-up is 83 meV per atom higher.

***

1.
A geometry-optimized KHg4Bi structure, computed with PBE.

Output
Size of the total moment in μB/f.u.: 0.00
N(E_F) in states/eV/cell: 16.4

a b c (Å): 8.877 8.877 8.877
angles (deg): 90.00 90.00 90.00
Space group F-43m (No. 216)
One atom of each set of equivalent atoms:
K 0.000 0.000 0.000 (multiplicity 4)
Hg 0.125 0.125 0.625 (multiplicity 16)
Bi 0.250 0.250 0.250 (multiplicity 4)

***

2.
A geometry-optimized KHg4Bi structure, computed with PBE.

Output
Size of the total moment in μB/f.u.: 0.00
N(E_F) in states/eV/cell: 8.3

a b c (Å): 4.880 26.081 6.478
angles (deg): 90.00 90.00 90.00
Space group Cmcm (No. 63)
One atom of each set of equivalent atoms:
K 0.000 0.108 0.250 (multiplicity 4)
Hg 0.000 0.172 0.750 (multiplicity 4)
Hg 0.000 0.288 0.518 (multiplicity 8)
Hg 0.000 0.500 0.000 (multiplicity 4)
Bi 0.000 0.407 0.250 (multiplicity 4)

***

2 comes first in stability; the runner-up is 28 meV per atom higher.